# 1
A geometry-optimized GdYPI2 structure, computed with PBE-GGA. Values from VASP.

**Crystal system**: trigonal
**Total energy**: -27.32 eV for the cell shown

Quantum ESPRESSO input file:
```
&SYSTEM
  ibrav = 0, nat = 5, ntyp = 4
/
ATOMIC_SPECIES
I 126.90 I.upf
Y 88.91 Y.upf
P 30.97 P.upf
Gd 157.25 Gd.upf
CELL_PARAMETERS angstrom
4.1230 0.0000 0.0000
-2.0615 3.5706 0.0000
0.0000 0.0000 10.8586
ATOMIC_POSITIONS crystal
I 0.0000 0.0000 0.3265
I 0.3333 0.6667 0.6716
Y 0.3333 0.6667 0.1378
P 0.6667 0.3333 0.0017
Gd 0.0000 0.0000 0.8623
```

---

# 2
A geometry-optimized TbDy2In3Cu3 structure, computed with PBE-GGA. Values from VASP.

**Crystal system**: orthorhombic
**Total energy**: -36.96 eV for the cell shown

Quantum ESPRESSO input file:
```
&SYSTEM
  ibrav = 0, nat = 9, ntyp = 4
/
ATOMIC_SPECIES
Dy 162.50 Dy.upf
In 114.82 In.upf
Cu 63.55 Cu.upf
Tb 158.93 Tb.upf
CELL_PARAMETERS angstrom
-0.0897 1.8480 -3.3883
-7.5154 -0.6393 -0.1497
3.2114 6.0283 3.2029
ATOMIC_POSITIONS crystal
Dy 0.0000 0.5919 0.0000
In 0.5000 0.2569 0.9995
In 0.5000 0.7433 0.7433
Cu 0.5000 0.3330 0.6672
In 0.5000 0.9995 0.2569
Cu 0.0000 0.9997 0.9997
Cu 0.5000 0.6672 0.3330
Tb 0.0000 0.4084 0.4084
Dy 0.0000 0.0000 0.5919
```

---

# 3
A geometry-optimized HfCd structure, computed with PBE-GGA. Values from VASP.

**Crystal system**: tetragonal
**Formation enthalpy at 0 K**: -0.0894 eV per atom
**Total energy**: -22.06 eV for the cell shown

Quantum ESPRESSO input file:
```
&SYSTEM
  ibrav = 0, nat = 4, ntyp = 2
/
ATOMIC_SPECIES
Hf 178.49 Hf.upf
Cd 112.41 Cd.upf
CELL_PARAMETERS angstrom
-2.3770 -1.6141 -1.1038
1.9490 -1.8155 -1.5423
0.4653 -5.5737 7.1487
ATOMIC_POSITIONS crystal
Hf 0.0000 0.0000 0.8812
Cd 0.5000 0.5000 0.6224
Cd 0.0000 0.0000 0.3774
Hf 0.5000 0.5000 0.1190
```

---

# 4
A geometry-optimized RbZnAu structure, computed with PBE-GGA. Values from VASP.

**Crystal system**: cubic
**Total energy**: -5.38 eV for the cell shown

Quantum ESPRESSO input file:
```
&SYSTEM
  ibrav = 0, nat = 3, ntyp = 3
/
ATOMIC_SPECIES
Zn 65.41 Zn.upf
Rb 85.47 Rb.upf
Au 196.97 Au.upf
CELL_PARAMETERS angstrom
-3.2741 -2.9550 2.9083
-4.9969 1.5456 0.7433
-3.9511 -2.6289 -2.3210
ATOMIC_POSITIONS crystal
Zn 0.7500 0.7500 0.7500
Rb 0.2500 0.2500 0.2500
Au 0.0000 0.0000 0.0000
```

---

# 5
A geometry-optimized RbSmU structure, computed with PBE-GGA. Values from VASP.

**Crystal system**: cubic
**Total energy**: -11.17 eV for the cell shown
**Excess energy over the best structure of this formula in the dataset**: 0 meV/atom

Quantum ESPRESSO input file:
```
&SYSTEM
  ibrav = 0, nat = 3, ntyp = 3
/
ATOMIC_SPECIES
Rb 85.47 Rb.upf
U 238.03 U.upf
Sm 150.36 Sm.upf
CELL_PARAMETERS angstrom
-0.5138 2.0423 5.5826
-3.0620 5.0069 1.0750
-5.2618 -0.2641 2.8008
ATOMIC_POSITIONS crystal
Rb 0.2500 0.2500 0.2500
U 0.7500 0.7500 0.7500
Sm 0.0000 0.0000 0.0000
```

---

# 6
A geometry-optimized ThPa structure, computed with PBE-GGA. Values from VASP.

**Crystal system**: hexagonal
**Formation enthalpy at 0 K**: 0.1493 eV per atom
**Total energy**: -16.61 eV for the cell shown
**Excess energy over the best structure of this formula in the dataset**: 0 meV/atom

Quantum ESPRESSO input file:
```
&SYSTEM
  ibrav = 0, nat = 2, ntyp = 2
/
ATOMIC_SPECIES
Pa 231.04 Pa.upf
Th 232.04 Th.upf
CELL_PARAMETERS angstrom
3.3492 0.0000 0.0000
-1.6746 2.9005 0.0000
0.0000 0.0000 5.8191
ATOMIC_POSITIONS crystal
Pa 0.6667 0.3333 0.7500
Th 0.3333 0.6667 0.2500
```

---

# 7
A geometry-optimized ScCuSbMo structure, computed with PBE-GGA. Values from VASP.

**Crystal system**: cubic
**Total energy**: -24.56 eV for the cell shown
**Excess energy over the best structure of this formula in the dataset**: 0 meV/atom

Quantum ESPRESSO input file:
```
&SYSTEM
  ibrav = 0, nat = 4, ntyp = 4
/
ATOMIC_SPECIES
Cu 63.55 Cu.upf
Mo 95.94 Mo.upf
Sc 44.96 Sc.upf
Sb 121.76 Sb.upf
CELL_PARAMETERS angstrom
3.2420 -2.5728 -2.0345
0.4814 -4.4392 1.1536
-1.2120 -3.3021 -2.9826
ATOMIC_POSITIONS crystal
Cu 0.7500 0.7500 0.7500
Mo 0.2500 0.2500 0.2500
Sc 0.5000 0.5000 0.5000
Sb 0.0000 0.0000 0.0000
```

---

# 8
A geometry-optimized Hg4OF6 structure, computed with PBE-GGA. Values from VASP.

**Crystal system**: hexagonal
**Total energy**: -61.20 eV for the cell shown

Quantum ESPRESSO input file:
```
&SYSTEM
  ibrav = 0, nat = 22, ntyp = 3
/
ATOMIC_SPECIES
Hg 200.59 Hg.upf
O 16.00 O.upf
F 19.00 F.upf
CELL_PARAMETERS angstrom
7.7358 0.0000 0.0000
-3.8679 6.6994 0.0000
0.0000 0.0000 5.9830
ATOMIC_POSITIONS crystal
Hg 0.6667 0.3333 0.4781
Hg 0.8183 0.1817 0.0015
Hg 0.8183 0.6365 0.0015
O 0.3333 0.6667 0.6246
F 0.8733 0.7466 0.3963
F 0.1267 0.8733 0.8963
F 0.0714 0.5357 0.2250
F 0.4643 0.9286 0.2250
F 0.5357 0.0714 0.7250
F 0.1267 0.2534 0.8963
Hg 0.1817 0.3635 0.5015
F 0.2534 0.1267 0.3963
O 0.6667 0.3333 0.1246
Hg 0.1817 0.8183 0.5015
Hg 0.3333 0.6667 0.9781
F 0.5357 0.4643 0.7250
F 0.7466 0.8733 0.8963
Hg 0.3635 0.1817 0.0015
Hg 0.6365 0.8183 0.5015
F 0.4643 0.5357 0.2250
F 0.9286 0.4643 0.7250
F 0.8733 0.1267 0.3963
```

---

What is the total energy in the second record?
-36.96 eV for the cell shown